No. 1
Below is HoAlNi4 after structural relaxation, with properties calculated at the PBE level.

Unit cell a=5.0046 b=8.4008 c=4.0216 alpha=90.00 beta=90.00 gamma=90.00
Closest atoms and distances in Å follow each position.
Space group Cmmm (No. 65)
Symmetry-distinct sites (fractional):
Ho: 0.0000 0.0000 0.0000 x2  6 Ni 2.80-2.87
Al: 0.0000 0.5000 0.5000 x2  8 Ni 2.44-2.45
Ni: 0.0000 0.3328 0.0000 x4  2 Al 2.45, 4 Ni 2.47
Ni: 0.2500 0.2500 0.5000 x4  2 Al 2.44, 6 Ni 2.47-2.50

Results
- Formation energy from the elements: -0.53 eV per atom
- Fermi-level density of states: 3.58 states/eV/f.u.
- Total moment: 0.0 μB per formula unit

No. 2
Below is Ho11Al9Ni4 after structural relaxation, with properties calculated at the PBE level.

Unit cell a=13.8862 b=20.8851 c=3.5304 alpha=90.00 beta=90.00 gamma=90.00
Closest atoms and distances in Å follow each position.
Space group Cmmm (No. 65)
Symmetry-distinct sites (fractional):
Ho: 0.0000 0.0000 0.0000 x2  8 Al 3.08, 2 Ho 3.41
Ho: 0.0000 0.1632 0.0000 x4  8 Al 3.13-3.37, 3 Ho 3.36-3.41
Ho: 0.0000 0.3744 0.0000 x4  4 Ni 2.83, 2 Al 3.16
Ho: 0.1894 0.5000 0.0000 x4  4 Ni 2.81
Ho: 0.2419 0.1710 0.0000 x8  2 Ni 2.69
Al: 0.0000 0.5000 0.5000 x2  4 Ni 3.03, 8 Ho 3.16-3.17
Al: 0.1008 0.2673 0.5000 x8  1 Al 2.80, 1 Ni 2.83, 4 Ho 3.09-3.13
Al: 0.1501 0.0686 0.5000 x8  1 Ni 2.79, 1 Al 2.87, 4 Ho 3.05-3.08
Ni: 0.1551 0.3978 0.5000 x8  6 Ho 2.69-2.83, 2 Al 2.79-2.83

Results
- Formation energy from the elements: -0.49 eV per atom
- Fermi-level density of states: 14.70 states/eV/f.u.
- Total moment: 0.0 μB per formula unit

No. 3
Below is Ho12AlNi6 after structural relaxation, with properties calculated at the PBE level.

Unit cell a=9.6163 b=9.6163 c=9.6163 alpha=90.00 beta=90.00 gamma=90.00
Closest atoms and distances in Å follow each position.
Space group Im-3 (No. 204)
Symmetry-distinct sites (fractional):
Ho: 0.0000 0.3011 0.1865 x24  3 Ni 2.64-2.88
Al: 0.0000 0.0000 0.0000 x2  12 Ho 3.41
Ni: 0.0000 0.1242 0.5000 x12  1 Ni 2.39, 2 Ho 2.64

Results
- Formation energy from the elements: -0.35 eV per atom
- Fermi-level density of states: 18.85 states/eV/f.u.
- Total moment: 0.0 μB per formula unit

No. 4
Below is HoAl11Ni after structural relaxation, with properties calculated at the PBE level.

Unit cell a=5.1319 b=12.5440 c=7.1784 alpha=90.00 beta=108.23 gamma=90.00
Closest atoms and distances in Å follow each position.
Space group C2/m (No. 12)
Symmetry-distinct sites (fractional):
Ho: 0.0000 0.0000 0.0000 x2  18 Al 3.26-3.59
Al: 0.0000 0.0000 0.5000 x2  2 Ni 2.57, 8 Al 2.69
Al: 0.1061 0.3931 0.2284 x8  1 Ni 2.56, 5 Al 2.68-2.76
Al: 0.1813 0.1739 0.3586 x8  8 Al 2.69-2.98, 1 Ni 2.72
Al: 0.2500 0.2500 0.0000 x4  8 Al 2.57-2.87
Ni: 0.0000 0.5000 0.5000 x2  10 Al 2.56-2.72

Results
- Formation energy from the elements: -0.18 eV per atom
- Fermi-level density of states: 4.90 states/eV/f.u.
- Total moment: 0.0 μB per formula unit

No. 5
Below is Ho3Al9Ni2 after structural relaxation, with properties calculated at the PBE level.

Unit cell a=4.2225 b=9.8917 c=12.0737 alpha=90.00 beta=90.00 gamma=90.00
Closest atoms and distances in Å follow each position.
Space group Immm (No. 71)
Symmetry-distinct sites (fractional):
Ho: 0.0000 0.0000 0.0000 x2  12 Al 3.12-3.16
Ho: 0.0000 0.0000 0.3107 x4  2 Ni 3.05, 10 Al 3.11-3.12
Al: 0.0000 0.2819 0.1227 x8  2 Ni 2.58, 4 Al 2.60-2.81
Al: 0.0000 0.3659 0.3448 x8  1 Ni 2.46, 3 Al 2.60-2.65
Al: 0.0000 0.5000 0.0000 x2  4 Al 2.62, 4 Ni 2.92
Ni: 0.0000 0.2045 0.5000 x4  6 Al 2.46-2.58

Results
- Formation energy from the elements: -0.51 eV per atom
- Fermi-level density of states: 5.87 states/eV/f.u.
- Total moment: 0.0 μB per formula unit

No. 6
Below is Ho4AlNi after structural relaxation, with properties calculated at the PBE level.

Unit cell a=13.3008 b=13.3008 c=13.3008 alpha=90.00 beta=90.00 gamma=90.00
Closest atoms and distances in Å follow each position.
Space group F-43m (No. 216)
Symmetry-distinct sites (fractional):
Ho: 0.0000 0.0000 0.1860 x24  2 Al 3.25, 2 Ni 3.41, 10 Ho 3.41-3.52
Ho: 0.0591 0.2500 0.7500 x24  2 Ni 2.76
Ho: 0.1008 0.1008 0.3992 x16  3 Ni 2.77
Al: 0.1728 0.1728 0.1728 x16  3 Al 2.91
Ni: 0.1072 0.1072 0.6072 x16  6 Ho 2.76-2.77

Results
- Formation energy from the elements: -0.34 eV per atom
- Fermi-level density of states: 4.99 states/eV/f.u.
- Total moment: 0.0 μB per formula unit